1.
A plane-wave DFT calculation with PBEsol was carried out for an optimized crystal structure of Pb2O3.

Cell: 3.3510 8.1559 5.7750 Å, 90.00 106.57 90.00°
Space group P2_1/m (No. 11)
Inequivalent atoms, fractional coordinates:
Pb: 0.0000 0.0000 0.0000 [2 per cell]
Pb: 0.2759 0.2500 0.5402 [2 per cell]
O: 0.0761 0.7500 0.1536 [2 per cell]
O: 0.3741 0.5365 0.7442 [4 per cell]

***

2.
A plane-wave DFT calculation with PBEsol was carried out for an optimized crystal structure of Pb3O4.

Results
Energy relative to the lowest polymorph listed for this composition, meV per atom: 16

Cell: 6.7622 9.9311 3.4450 Å, 90.00 90.00 90.00°
Space group Pbam (No. 55)
Inequivalent atoms, fractional coordinates:
Pb: 0.0000 0.0000 0.0000 [2 per cell]
Pb: 0.0163 0.3108 0.5000 [4 per cell]
O: 0.1483 0.8064 0.0000 [4 per cell]
O: 0.1657 0.0890 0.5000 [4 per cell]

***

Raw formation energy for every record listed, in sequence, given in eV per atom: -0.97 -1.01.